a | PBE NdEr2Tm, optimized geometry; spin magnetization = 0.109 Bohr magnetons per cell; space-group type = R3m
1.0
1.787 1.032 11.418
-1.787 1.032 11.418
0.000 -2.063 11.418
Nd Er Tm
1 2 1
Direct
0.000 0.000 0.000
0.418 0.418 0.418
0.581 0.581 0.581
0.166 0.166 0.166

=====

b | PBE NdEr2Tm, optimized geometry; spin magnetization = 0.000 Bohr magnetons per cell; space-group type = Fm-3m
1.0
0.000 3.996 3.996
3.996 0.000 3.996
3.996 3.996 0.000
Nd Er Tm
1 2 1
Direct
0.000 0.000 0.000
0.250 0.250 0.250
0.750 0.750 0.750
0.500 0.500 0.500

=====

c | PBE NdEr2Tm, optimized geometry; spin magnetization = 0.011 Bohr magnetons per cell; space-group type = Imm2
1.0
-1.814 5.645 3.120
1.814 -5.645 3.120
1.814 5.645 -3.120
Nd Er Tm
1 2 1
Direct
0.000 0.000 0.000
0.415 0.662 0.753
0.909 0.662 0.247
0.496 0.996 0.500

=====

d | PBE NdEr2Tm, optimized geometry; spin magnetization = 0.000 Bohr magnetons per cell; space-group type = P4/mmm
1.0
4.000 0.000 0.000
0.000 4.000 0.000
0.000 0.000 8.071
Nd Er Tm
1 2 1
Direct
0.000 0.000 0.000
0.500 0.500 0.269
0.500 0.500 0.731
0.000 0.000 0.500

=====

a comes first in stability; the runner-up is 9 meV/atom higher.